Material: BeAs2Cl
Method: DFT, PBE
State: relaxed

Cell lengths 3.8072, 3.8072, 6.6119 Å; angles 82.58, 82.58, 58.44 degrees
With the nearest neighbours (Å) after each atom.
Fractional coordinates of all 4 atoms:
Be1 0.7500 0.7500 0.7500  4 As 2.28
As1 0.1034 0.1034 0.9085  2 Be 2.28
As2 0.3966 0.3966 0.5915  2 Be 2.28
Cl1 0.2500 0.2500 0.2500  2 As 2.59

Values from the calculation:
Crystal system = monoclinic
Raw total energy = -0.1365 hartree per atom
E_form (uncorrected) = 0.005 eV per atom
Calculated volume = 20.19 A^3/atom
Theoretical density = 3.99 g/cm³
Offset from the most stable computed form = 212 meV per atom

***

Material: BeAs2Cl
Method: DFT, PBE
State: relaxed

Cell lengths 3.3495, 3.3495, 7.0935 Å; angles 90.00, 90.00, 90.00 degrees
With the nearest neighbours (Å) after each atom.
Fractional coordinates of all 4 atoms:
Be1 0.0000 0.0000 0.4551  5 As 2.52-2.73
As1 0.0000 0.0000 0.0999  1 Be 2.52, 4 As 2.64
As2 0.5000 0.5000 0.2640  4 As 2.64, 4 Be 2.73
Cl1 0.5000 0.5000 0.6810  4 Be 2.86, 1 As 2.96

Values from the calculation:
Crystal system = tetragonal
Raw total energy = -0.1257 hartree per atom
E_form (uncorrected) = 0.299 eV per atom
Calculated volume = 19.90 A^3/atom
Theoretical density = 4.05 g/cm³
Offset from the most stable computed form = 506 meV per atom

***

Material: BeAs2Cl
Method: DFT, PBE
State: relaxed

Cell lengths 5.9210, 5.9210, 5.9210 Å; angles 150.68, 135.74, 53.98 degrees
With the nearest neighbours (Å) after each atom.
Fractional coordinates of all 4 atoms:
Be1 0.7500 0.2500 0.5000  4 As 2.52, 4 Cl 2.69
As1 0.9425 0.9425 0.0000  2 Be 2.52
As2 0.5575 0.5575 0.0000  2 Be 2.52
Cl1 0.2500 0.7500 0.5000  4 Be 2.69, 2 Cl 3.00

Values from the calculation:
Crystal system = orthorhombic
Raw total energy = -0.1280 hartree per atom
E_form (uncorrected) = 0.234 eV per atom
Calculated volume = 17.63 A^3/atom
Theoretical density = 4.57 g/cm³
Offset from the most stable computed form = 441 meV per atom